(1)
LiNd2ZnCu6 (PBE, optimized geometry); space-group type = P-1 (2)
1.0
-5.0697 -0.6239 -4.2368
4.6338 -1.9611 -4.0562
1.5946 -5.6298 -2.7583
Nd Cu Zn Li
2 6 1 1
Direct
0.7053 0.2522 0.5469 Nd
0.2947 0.7478 0.4531 Nd
0.0692 0.2484 0.1792 Cu
0.7587 0.7617 0.5023 Cu
0.9308 0.7516 0.8208 Cu
0.7585 0.2602 0.0037 Cu
0.2415 0.7398 0.9963 Cu
0.2413 0.2383 0.4977 Cu
0.0000 0.0000 0.0000 Zn
0.5000 0.5000 0.0000 Li

(2)
Li6Cu16Ni7 (PBE, optimized geometry); space-group type = Fm-3m (225)
1.0
-7.2803 2.7227 2.4765
-6.6676 -4.5558 -1.1562
-3.7092 -3.4922 6.3715
Cu Li Ni
16 6 7
Direct
0.6193 0.6193 0.1420 Cu
0.8294 0.8294 0.5117 Cu
0.8294 0.8294 0.8294 Cu
0.1706 0.4883 0.1706 Cu
0.3807 0.8580 0.3807 Cu
0.8294 0.5117 0.8294 Cu
0.6193 0.1420 0.6193 Cu
0.1706 0.1706 0.4883 Cu
0.4883 0.1706 0.1706 Cu
0.1706 0.1706 0.1706 Cu
0.5117 0.8294 0.8294 Cu
0.6193 0.6193 0.6193 Cu
0.1420 0.6193 0.6193 Cu
0.3807 0.3807 0.3807 Cu
0.3807 0.3807 0.8580 Cu
0.8580 0.3807 0.3807 Cu
0.7854 0.2146 0.2146 Li
0.2146 0.7854 0.7854 Li
0.7854 0.2146 0.7854 Li
0.2146 0.7854 0.2146 Li
0.7854 0.7854 0.2146 Li
0.2146 0.2146 0.7854 Li
0.5000 0.0000 0.5000 Ni
0.5000 0.5000 0.0000 Ni
0.5000 0.0000 0.0000 Ni
0.0000 0.5000 0.0000 Ni
0.5000 0.5000 0.5000 Ni
0.0000 0.5000 0.5000 Ni
0.0000 0.0000 0.5000 Ni

(3)
LiCu5Ni (PBE, optimized geometry); space-group type = C2/c (15)
1.0
-6.1752 -0.5503 -1.2899
-0.2669 -4.9993 3.8775
-2.0480 1.7110 3.8147
Cu Li Ni
10 2 2
Direct
0.6563 0.8488 0.4017 Cu
0.3351 0.9714 0.1757 Cu
0.6649 0.0286 0.8243 Cu
0.1512 0.3437 0.0983 Cu
0.9714 0.3351 0.6757 Cu
0.8488 0.6563 0.9017 Cu
0.3437 0.1512 0.5983 Cu
0.0286 0.6649 0.3243 Cu
0.7402 0.2598 0.2500 Cu
0.2598 0.7402 0.7500 Cu
0.4292 0.5708 0.2500 Li
0.5708 0.4292 0.7500 Li
0.0000 0.0000 0.0000 Ni
0.0000 0.0000 0.5000 Ni

(4)
Li4Cu10Ni (PBE, optimized geometry); space-group type = I4/m (87)
1.0
-0.9334 6.7069 -4.5372
-4.7089 4.6601 0.5357
2.5681 6.0359 1.0724
Cu Li Ni
10 4 1
Direct
0.2500 0.5000 0.5000 Cu
0.9568 0.0999 0.3343 Cu
0.9433 0.6657 0.0999 Cu
0.0432 0.9001 0.6657 Cu
0.7500 0.5000 0.5000 Cu
0.6090 0.0999 0.3343 Cu
0.7089 0.3343 0.9001 Cu
0.2911 0.6657 0.0999 Cu
0.0567 0.3343 0.9001 Cu
0.3910 0.9001 0.6657 Cu
0.7984 0.7722 0.6311 Li
0.5706 0.6311 0.2278 Li
0.4294 0.3689 0.7722 Li
0.2016 0.2278 0.3689 Li
0.0000 0.0000 0.0000 Ni

(5)
Li2Cu2Ni3 (PBE, optimized geometry); space-group type = P-1 (2)
1.0
-2.1162 -1.2884 -0.3748
1.9949 0.6915 -5.3120
2.5604 -4.9789 2.6826
Ni Li Cu
3 2 2
Direct
0.4392 0.8763 0.2801 Ni
0.5608 0.1237 0.7199 Ni
0.0000 0.0000 0.0000 Ni
0.2879 0.5752 0.8518 Li
0.7121 0.4248 0.1482 Li
0.1409 0.2858 0.4442 Cu
0.8591 0.7142 0.5558 Cu

(6)
Li2CuNi2 (PBE, optimized geometry); space-group type = I4/mmm (139)
1.0
-1.6006 1.6006 6.8977
1.6006 -1.6006 6.8977
1.6006 1.6006 -6.8977
Li Cu Ni
2 1 2
Direct
0.6022 0.6022 0.0000 Li
0.3978 0.3978 0.0000 Li
0.0000 0.0000 0.0000 Cu
0.7500 0.2500 0.5000 Ni
0.2500 0.7500 0.5000 Ni

(7)
LiCu6Ni5 (PBE, optimized geometry); space-group type = Cmmm (65)
1.0
-3.7885 -1.5672 -0.1599
0.2920 -0.1534 -5.4145
0.4462 -6.4707 0.2074
Ni Cu Li
5 6 1
Direct
0.3314 0.0000 0.3371 Ni
0.6686 0.0000 0.6629 Ni
0.0000 0.5000 0.0000 Ni
0.6633 0.5000 0.6734 Ni
0.3367 0.5000 0.3266 Ni
0.1672 0.2519 0.6657 Cu
0.8329 0.2519 0.3343 Cu
0.8328 0.7481 0.3343 Cu
0.5000 0.2459 0.0000 Cu
0.1671 0.7481 0.6657 Cu
0.5000 0.7541 0.0000 Cu
0.0000 0.0000 0.0000 Li

(8)
Li2CuNi2 (PBE, optimized geometry); space-group type = P4/mbm (127)
1.0
6.6598 0.0000 0.0000
0.0000 6.6598 0.0000
0.0000 0.0000 2.5588
Li Cu Ni
4 2 4
Direct
0.6224 0.1224 0.0000 Li
0.3776 0.8776 0.0000 Li
0.8776 0.6224 0.0000 Li
0.1224 0.3776 0.0000 Li
0.5000 0.5000 0.0000 Cu
0.0000 0.0000 0.0000 Cu
0.1790 0.6790 0.5000 Ni
0.3210 0.1790 0.5000 Ni
0.6790 0.8210 0.5000 Ni
0.8210 0.3210 0.5000 Ni

Number 1: formation energy from the elements -65 kJ/mol of formula units, total DFT energy (no corrections) -0.2791 Ry/atom. Number 2: formation energy from the elements 46 kJ/mol of formula units, total DFT energy (no corrections) -0.2966 Ry/atom. Number 3: formation energy from the elements 41 kJ/mol of formula units, total DFT energy (no corrections) -0.2914 Ry/atom. Number 4: formation energy from the elements 268 kJ/mol of formula units, total DFT energy (no corrections) -0.2529 Ry/atom. Number 5: formation energy from the elements -13 kJ/mol of formula units, total DFT energy (no corrections) -0.3098 Ry/atom. Number 6: formation energy from the elements 137 kJ/mol of formula units, total DFT energy (no corrections) -0.2655 Ry/atom. Number 7: formation energy from the elements 46 kJ/mol of formula units, total DFT energy (no corrections) -0.3364 Ry/atom. Number 8: formation energy from the elements 102 kJ/mol of formula units, total DFT energy (no corrections) -0.2708 Ry/atom.